No. 1
Rb2TaAgI6 after structural relaxation, computed with PBE-GGA.

Properties
Formation energy from raw total energies ... -64 kJ/mol of atoms
Space group ... Fm-3m, No. 225
Energy ... -3.256 eV/atom

Cell lengths 8.319, 8.319, 8.323 Å; angles 60.02, 60.02, 90.00 degrees
Fractional positions:
I1 0.242 0.242 0.516
I2 0.758 0.758 0.484
I3 0.242 0.242 0.000
I4 0.758 0.758 0.000
I5 0.758 0.242 0.000
I6 0.242 0.758 0.000
Rb1 0.750 0.250 0.500
Rb2 0.250 0.750 0.500
Ag1 0.500 0.500 0.000
Ta1 0.000 0.000 0.000

No. 2
Rb2TbAg2I6 after structural relaxation, computed with PBE-GGA.

Properties
Formation energy from raw total energies ... -92 kJ/mol of atoms
Space group ... C2/m, No. 12
Energy ... -2.913 eV/atom

Cell lengths 9.428, 8.318, 8.725 Å; angles 112.13, 90.00, 124.52 degrees
Fractional positions:
Rb1 0.715 0.430 0.176
Rb2 0.285 0.570 0.824
Tb1 0.500 0.000 0.500
Ag1 0.965 0.930 0.626
Ag2 0.035 0.070 0.374
I1 0.746 0.492 0.620
I2 0.238 0.921 0.222
I3 0.317 0.079 0.778
I4 0.762 0.079 0.778
I5 0.683 0.921 0.222
I6 0.254 0.508 0.380

No. 3
RbTbAg2I6 after structural relaxation, computed with PBE-GGA.

Properties
Formation energy from raw total energies ... -90 kJ/mol of atoms
Space group ... R-3, No. 148
Energy ... -2.992 eV/atom

Cell lengths 8.033, 8.035, 9.684 Å; angles 89.98, 114.50, 120.01 degrees
Fractional positions:
Rb1 0.997 0.498 0.480
Tb1 0.997 0.998 0.980
Ag1 0.447 0.723 0.157
Ag2 0.546 0.272 0.804
I1 0.549 0.930 0.769
I2 0.444 0.065 0.192
I3 0.828 0.761 0.192
I4 0.140 0.378 0.192
I5 0.853 0.618 0.769
I6 0.166 0.234 0.769

No. 4
RbTcAg2I8 after structural relaxation, computed with PBE-GGA.

Properties
Formation energy from raw total energies ... -30 kJ/mol of atoms
Space group ... P-1, No. 2
Energy ... -2.766 eV/atom

Cell lengths 7.374, 7.050, 10.571 Å; angles 95.12, 97.72, 69.06 degrees
Fractional positions:
Rb1 0.000 0.000 0.500
Tc1 0.000 0.000 0.000
Ag1 0.606 0.650 0.792
Ag2 0.394 0.350 0.208
I1 0.262 0.789 0.194
I2 0.767 0.779 0.022
I3 0.812 0.277 0.181
I4 0.738 0.211 0.806
I5 0.233 0.221 0.978
I6 0.188 0.723 0.819
I7 0.552 0.739 0.537
I8 0.448 0.261 0.463

No. 5
RbAg2TeI6 after structural relaxation, computed with PBE-GGA.

Properties
Formation energy from raw total energies ... -36 kJ/mol of atoms
Space group ... C2/c, No. 15
Energy ... -2.282 eV/atom

Cell lengths 9.402, 11.290, 11.290 Å; angles 68.74, 67.50, 67.50 degrees
Fractional positions:
Rb1 0.250 0.700 0.300
Rb2 0.750 0.300 0.700
Ag1 0.325 0.811 0.619
Ag2 0.175 0.381 0.189
Ag3 0.675 0.189 0.381
Ag4 0.825 0.619 0.811
Te1 0.250 0.200 0.800
Te2 0.750 0.800 0.200
I1 0.126 0.034 0.737
I2 0.374 0.263 0.966
I3 0.874 0.966 0.263
I4 0.626 0.737 0.034
I5 0.420 0.934 0.338
I6 0.080 0.662 0.066
I7 0.580 0.066 0.662
I8 0.920 0.338 0.934
I9 0.054 0.747 0.629
I10 0.446 0.371 0.253
I11 0.946 0.253 0.371
I12 0.554 0.629 0.747

No. 6
RbAgTe2I after structural relaxation, computed with PBE-GGA.

Properties
Formation energy from raw total energies ... -22 kJ/mol of atoms
Space group ... P4/mmm, No. 123
Energy ... -2.556 eV/atom
Energy above the most stable polymorph in this dataset ... 0.00 eV per formula unit

Cell lengths 5.496, 5.496, 6.284 Å; angles 90.00, 90.00, 90.00 degrees
Fractional positions:
I1 0.000 0.000 0.500
Te1 0.000 0.500 0.000
Te2 0.500 0.000 0.000
Rb1 0.500 0.500 0.500
Ag1 0.000 0.000 0.000

No. 7
Rb2AgTeI6 after structural relaxation, computed with PBE-GGA.

Properties
Formation energy from raw total energies ... -63 kJ/mol of atoms
Space group ... I4/mmm, No. 139
Energy ... -2.380 eV/atom

Cell lengths 8.504, 8.504, 8.529 Å; angles 60.10, 60.10, 90.00 degrees
Fractional positions:
I1 0.251 0.251 0.497
I2 0.749 0.749 0.503
I3 0.256 0.256 0.000
I4 0.744 0.744 0.000
I5 0.744 0.256 0.000
I6 0.256 0.744 0.000
Te1 0.000 0.000 0.000
Rb1 0.750 0.250 0.500
Rb2 0.250 0.750 0.500
Ag1 0.500 0.500 0.000

No. 8
RbAgTe2I after structural relaxation, computed with PBE-GGA.

Properties
Formation energy from raw total energies ... 70 kJ/mol of atoms
Space group ... P4/mmm, No. 123
Energy ... -1.603 eV/atom
Energy above the most stable polymorph in this dataset ... 4.77 eV per formula unit

Cell lengths 6.766, 6.766, 6.679 Å; angles 90.00, 90.00, 90.00 degrees
Fractional positions:
I1 0.000 0.000 0.500
Te1 0.000 0.500 0.000
Te2 0.500 0.000 0.000
Rb1 0.000 0.000 0.000
Ag1 0.500 0.500 0.500

No. 9
RbThAg2I8 after structural relaxation, computed with PBE-GGA.

Properties
Formation energy from raw total energies ... -75 kJ/mol of atoms
Space group ... C2/m, No. 12
Energy ... -2.981 eV/atom

Cell lengths 7.873, 7.873, 10.641 Å; angles 89.49, 89.49, 63.08 degrees
Fractional positions:
Rb1 0.000 0.000 0.500
Th1 0.000 0.000 0.000
Ag1 0.663 0.663 0.241
Ag2 0.337 0.337 0.759
I1 0.740 0.255 0.790
I2 0.770 0.770 0.009
I3 0.729 0.729 0.483
I4 0.271 0.271 0.517
I5 0.230 0.230 0.991
I6 0.255 0.740 0.790
I7 0.745 0.260 0.210
I8 0.260 0.745 0.210

No. 10
RbTiAg2I6 after structural relaxation, computed with PBE-GGA.

Properties
Formation energy from raw total energies ... -62 kJ/mol of atoms
Space group ... C2/c, No. 15
Energy ... -3.034 eV/atom

Cell lengths 8.880, 10.692, 10.692 Å; angles 82.54, 72.32, 72.32 degrees
Fractional positions:
Rb1 0.250 0.834 0.166
Rb2 0.750 0.166 0.834
Ti1 0.250 0.176 0.824
Ti2 0.750 0.824 0.176
Ag1 0.358 0.614 0.514
Ag2 0.142 0.486 0.386
Ag3 0.642 0.386 0.486
Ag4 0.858 0.514 0.614
I1 0.179 0.954 0.816
I2 0.321 0.184 0.046
I3 0.821 0.046 0.184
I4 0.679 0.816 0.954
I5 0.495 0.842 0.390
I6 0.005 0.610 0.158
I7 0.505 0.158 0.610
I8 0.995 0.390 0.842
I9 0.015 0.721 0.547
I10 0.485 0.453 0.279
I11 0.985 0.279 0.453
I12 0.515 0.547 0.721

No. 11
RbTiAgI6 after structural relaxation, computed with PBE-GGA.

Properties
Formation energy from raw total energies ... -71 kJ/mol of atoms
Space group ... P-31c, No. 163
Energy ... -3.072 eV/atom

Cell lengths 7.694, 7.694, 15.864 Å; angles 90.00, 90.00, 120.00 degrees
Fractional positions:
Rb1 0.000 0.000 0.000
Rb2 0.000 0.000 0.500
Ti1 0.667 0.333 0.250
Ti2 0.333 0.667 0.750
Ag1 0.333 0.667 0.250
Ag2 0.667 0.333 0.750
I1 0.637 0.611 0.148
I2 0.973 0.363 0.148
I3 0.363 0.973 0.648
I4 0.027 0.637 0.852
I5 0.389 0.363 0.352
I6 0.973 0.611 0.352
I7 0.611 0.973 0.852
I8 0.637 0.027 0.352
I9 0.027 0.389 0.648
I10 0.389 0.027 0.148
I11 0.611 0.637 0.648
I12 0.363 0.389 0.852

No. 12
Rb3Tl3AgI8 after structural relaxation, computed with PBE-GGA.

Properties
Formation energy from raw total energies ... -81 kJ/mol of atoms
Space group ... C2/m, No. 12
Energy ... -2.527 eV/atom

Cell lengths 10.254, 10.256, 10.134 Å; angles 120.52, 90.00, 119.99 degrees
Fractional positions:
Rb1 0.500 0.000 0.500
Rb2 0.500 0.500 0.500
Rb3 0.000 0.500 0.500
Tl1 0.000 0.000 0.000
Tl2 0.000 0.500 0.000
Tl3 0.500 0.500 0.000
Ag1 0.000 0.000 0.500
I1 0.247 0.493 0.239
I2 0.753 0.507 0.761
I3 0.800 0.601 0.292
I4 0.200 0.399 0.708
I5 0.783 0.992 0.275
I6 0.217 0.008 0.725
I7 0.209 0.992 0.275
I8 0.791 0.008 0.725